[1]
Material: VGa2Ru2
Method: DFT, PBE-GGA
State: relaxed

Cell and atoms, written as CIF:
```
data_VGa2Ru2
_space_group_name_H-M_alt 'I 4/m m m'
_space_group_IT_number 139
_space_group_name_Hall '-I 4 2'
_cell_length_a 3.3982
_cell_length_b 3.3982
_cell_length_c 13.1312
_cell_angle_alpha 90.00
_cell_angle_beta 90.00
_cell_angle_gamma 90.00
loop_
_atom_site_label
_atom_site_type_symbol
_atom_site_fract_x
_atom_site_fract_y
_atom_site_fract_z
V1 V 0.0000 0.0000 0.0000
Ga1 Ga 0.0000 0.5000 0.2500
Ru1 Ru 0.0000 0.0000 0.4002
```

Calculated values
Magnetization (μB/f.u.): 0.01
Total DFT energy (no corrections) (eV/atom): -6.617

---

[2]
Material: VGaRu3
Method: DFT, PBE-GGA
State: relaxed

Cell and atoms, written as CIF:
```
data_VGaRu3
_space_group_name_H-M_alt 'P m -3 m'
_space_group_IT_number 221
_space_group_name_Hall '-P 4 2 3'
_cell_length_a 4.4593
_cell_length_b 4.4593
_cell_length_c 4.4593
_cell_angle_alpha 90.00
_cell_angle_beta 90.00
_cell_angle_gamma 90.00
loop_
_atom_site_label
_atom_site_type_symbol
_atom_site_fract_x
_atom_site_fract_y
_atom_site_fract_z
V1 V 0.0000 0.0000 0.0000
Ga1 Ga 0.5000 0.5000 0.5000
Ru1 Ru 0.0000 0.5000 0.5000
```

Calculated values
Magnetization (μB/f.u.): 0.07
Total DFT energy (no corrections) (eV/atom): -6.751

---

[3]
Material: VGaRu3
Method: DFT, PBE-GGA
State: relaxed

Cell and atoms, written as CIF:
```
data_VGaRu3
_space_group_name_H-M_alt 'C m c m'
_space_group_IT_number 63
_space_group_name_Hall '-C 2c 2'
_cell_length_a 10.2783
_cell_length_b 8.2964
_cell_length_c 7.0101
_cell_angle_alpha 90.00
_cell_angle_beta 90.00
_cell_angle_gamma 90.00
loop_
_atom_site_label
_atom_site_type_symbol
_atom_site_fract_x
_atom_site_fract_y
_atom_site_fract_z
V1 V 0.2458 0.1320 0.2500
Ga1 Ga 0.0000 0.0314 0.2500
Ga2 Ga 0.0000 0.3367 0.2500
Ru1 Ru 0.1308 0.1709 0.5502
Ru2 Ru 0.1307 0.5000 0.0000
```

Calculated values
Magnetization (μB/f.u.): 0.00
Total DFT energy (no corrections) (eV/atom): -7.910

---

[4]
Material: V2GaRu2
Method: DFT, PBE-GGA
State: relaxed

Cell and atoms, written as CIF:
```
data_V2GaRu2
_space_group_name_H-M_alt 'P 4/m b m'
_space_group_IT_number 127
_space_group_name_Hall '-P 4 2ab'
_cell_length_a 7.1211
_cell_length_b 7.1211
_cell_length_c 2.8874
_cell_angle_alpha 90.00
_cell_angle_beta 90.00
_cell_angle_gamma 90.00
loop_
_atom_site_label
_atom_site_type_symbol
_atom_site_fract_x
_atom_site_fract_y
_atom_site_fract_z
V1 V 0.1620 0.3380 0.0000
Ga1 Ga 0.0000 0.0000 0.5000
Ru1 Ru 0.1376 0.6376 0.5000
```

Calculated values
Magnetization (μB/f.u.): 0.00
Total DFT energy (no corrections) (eV/atom): -8.075

---

[5]
Material: V2GaRu5W2
Method: DFT, PBE-GGA
State: relaxed

Cell and atoms, written as CIF:
```
data_V2GaRu5W2
_space_group_name_H-M_alt 'P 4/m b m'
_space_group_IT_number 127
_space_group_name_Hall '-P 4 2ab'
_cell_length_a 10.0448
_cell_length_b 10.0448
_cell_length_c 2.9358
_cell_angle_alpha 90.00
_cell_angle_beta 90.00
_cell_angle_gamma 90.00
loop_
_atom_site_label
_atom_site_type_symbol
_atom_site_fract_x
_atom_site_fract_y
_atom_site_fract_z
V1 V 0.1414 0.3586 0.0000
Ga1 Ga 0.0000 0.0000 0.0000
Ru1 Ru 0.0000 0.5000 0.5000
Ru2 Ru 0.0229 0.2086 0.5000
W1 W 0.1793 0.6793 0.0000
```

Calculated values
Magnetization (μB/f.u.): 0.00
Total DFT energy (no corrections) (eV/atom): -9.244

---

[6]
Material: Y2V2GaRu5
Method: DFT, PBE-GGA
State: relaxed

Cell and atoms, written as CIF:
```
data_Y2V2GaRu5
_space_group_name_H-M_alt 'P 4/m b m'
_space_group_IT_number 127
_space_group_name_Hall '-P 4 2ab'
_cell_length_a 10.2401
_cell_length_b 10.2401
_cell_length_c 3.1984
_cell_angle_alpha 90.00
_cell_angle_beta 90.00
_cell_angle_gamma 90.00
loop_
_atom_site_label
_atom_site_type_symbol
_atom_site_fract_x
_atom_site_fract_y
_atom_site_fract_z
Y1 Y 0.1734 0.3266 0.0000
V1 V 0.1288 0.6288 0.0000
Ga1 Ga 0.0000 0.0000 0.0000
Ru1 Ru 0.0000 0.5000 0.5000
Ru2 Ru 0.0647 0.7979 0.5000
```

Calculated values
Magnetization (μB/f.u.): 0.00
Total DFT energy (no corrections) (eV/atom): -8.282

---

[7]
Material: VZnGaRu
Method: DFT, PBE-GGA
State: relaxed

Cell and atoms, written as CIF:
```
data_VZnGaRu
_space_group_name_H-M_alt 'F -4 3 m'
_space_group_IT_number 216
_space_group_name_Hall 'F -4 2 3'
_cell_length_a 6.0544
_cell_length_b 6.0544
_cell_length_c 6.0544
_cell_angle_alpha 90.00
_cell_angle_beta 90.00
_cell_angle_gamma 90.00
loop_
_atom_site_label
_atom_site_type_symbol
_atom_site_fract_x
_atom_site_fract_y
_atom_site_fract_z
V1 V 0.0000 0.0000 0.0000
Zn1 Zn 0.2500 0.2500 0.7500
Ga1 Ga 0.0000 0.0000 0.5000
Ru1 Ru 0.2500 0.2500 0.2500
```

Calculated values
Magnetization (μB/f.u.): 0.00
Total DFT energy (no corrections) (eV/atom): -5.848

---

[8]
Material: Zr2VGa2Ru5
Method: DFT, PBE-GGA
State: relaxed

Cell and atoms, written as CIF:
```
data_Zr2VGa2Ru5
_space_group_name_H-M_alt 'P 4/m b m'
_space_group_IT_number 127
_space_group_name_Hall '-P 4 2ab'
_cell_length_a 9.8586
_cell_length_b 9.8586
_cell_length_c 3.2522
_cell_angle_alpha 90.00
_cell_angle_beta 90.00
_cell_angle_gamma 90.00
loop_
_atom_site_label
_atom_site_type_symbol
_atom_site_fract_x
_atom_site_fract_y
_atom_site_fract_z
Zr1 Zr 0.1694 0.3306 0.0000
V1 V 0.0000 0.0000 0.0000
Ga1 Ga 0.1324 0.6324 0.0000
Ru1 Ru 0.0000 0.5000 0.5000
Ru2 Ru 0.0524 0.8025 0.5000
```

Calculated values
Magnetization (μB/f.u.): 0.00
Total DFT energy (no corrections) (eV/atom): -8.223

---

[9]
Material: Ga2Ru3W
Method: DFT, PBE-GGA
State: relaxed

Cell and atoms, written as CIF:
```
data_Ga2Ru3W
_space_group_name_H-M_alt 'P 4/m m m'
_space_group_IT_number 123
_space_group_name_Hall '-P 4 2'
_cell_length_a 3.0592
_cell_length_b 3.0592
_cell_length_c 9.1989
_cell_angle_alpha 90.00
_cell_angle_beta 90.00
_cell_angle_gamma 90.00
loop_
_atom_site_label
_atom_site_type_symbol
_atom_site_fract_x
_atom_site_fract_y
_atom_site_fract_z
Ga1 Ga 0.0000 0.0000 0.1573
Ru1 Ru 0.5000 0.5000 0.0000
Ru2 Ru 0.5000 0.5000 0.3298
W1 W 0.0000 0.0000 0.5000
```

Calculated values
Magnetization (μB/f.u.): 0.00
Total DFT energy (no corrections) (eV/atom): -8.048

---

[10]
Material: Ga4Ru5W
Method: DFT, PBE-GGA
State: relaxed

Cell and atoms, written as CIF:
```
data_Ga4Ru5W
_space_group_name_H-M_alt 'P 4/m m m'
_space_group_IT_number 123
_space_group_name_Hall '-P 4 2'
_cell_length_a 3.0387
_cell_length_b 3.0387
_cell_length_c 15.3480
_cell_angle_alpha 90.00
_cell_angle_beta 90.00
_cell_angle_gamma 90.00
loop_
_atom_site_label
_atom_site_type_symbol
_atom_site_fract_x
_atom_site_fract_y
_atom_site_fract_z
Ga1 Ga 0.0000 0.0000 0.0987
Ga2 Ga 0.0000 0.0000 0.2927
Ru1 Ru 0.5000 0.5000 0.0000
Ru2 Ru 0.5000 0.5000 0.1982
Ru3 Ru 0.5000 0.5000 0.3959
W1 W 0.0000 0.0000 0.5000
```

Calculated values
Magnetization (μB/f.u.): 0.00
Total DFT energy (no corrections) (eV/atom): -7.406

---

[11]
Material: Ga2Ru2W
Method: DFT, PBE-GGA
State: relaxed

Cell and atoms, written as CIF:
```
data_Ga2Ru2W
_space_group_name_H-M_alt 'C m m m'
_space_group_IT_number 65
_space_group_name_Hall '-C 2 2'
_cell_length_a 2.8644
_cell_length_b 18.4013
_cell_length_c 2.9529
_cell_angle_alpha 90.00
_cell_angle_beta 90.00
_cell_angle_gamma 90.00
loop_
_atom_site_label
_atom_site_type_symbol
_atom_site_fract_x
_atom_site_fract_y
_atom_site_fract_z
Ga1 Ga 0.0000 0.1846 0.0000
Ru1 Ru 0.0000 0.4046 0.5000
W1 W 0.0000 0.0000 0.0000
```

Calculated values
Magnetization (μB/f.u.): 0.00
Total DFT energy (no corrections) (eV/atom): -7.649

---

[12]
Material: GaRuW
Method: DFT, PBE-GGA
State: relaxed

Cell and atoms, written as CIF:
```
data_GaRuW
_space_group_name_H-M_alt 'I 4 m m'
_space_group_IT_number 107
_space_group_name_Hall 'I 4 -2'
_cell_length_a 2.9534
_cell_length_b 2.9534
_cell_length_c 10.0902
_cell_angle_alpha 90.00
_cell_angle_beta 90.00
_cell_angle_gamma 90.00
loop_
_atom_site_label
_atom_site_type_symbol
_atom_site_fract_x
_atom_site_fract_y
_atom_site_fract_z
Ga1 Ga 0.0000 0.0000 0.0000
Ru1 Ru 0.0000 0.0000 0.6552
W1 W 0.0000 0.0000 0.3232
```

Calculated values
Magnetization (μB/f.u.): 0.00
Total DFT energy (no corrections) (eV/atom): -8.531